First-principles (PBE) data for an optimized crystal structure of Cs2LiTlHg6, as listed in Alexandria.

Cell and atoms, written as CIF:
```
data_Cs2LiTlHg6
_chemical_formula_sum 'Cs8 Li4 Tl4 Hg24'
_space_group_name_H-M_alt 'F m m m'
_space_group_IT_number 69
_space_group_name_Hall '-F 2 2'
_cell_length_a 11.3587
_cell_length_b 11.3927
_cell_length_c 11.4546
_cell_angle_alpha 90.00
_cell_angle_beta 90.00
_cell_angle_gamma 90.00
loop_
_atom_site_label
_atom_site_fract_x
_atom_site_fract_y
_atom_site_fract_z
Cs1 0.2500 0.2500 0.2500
Li1 0.0000 0.0000 0.0000
Tl1 0.0000 0.0000 0.5000
Hg1 0.0000 0.0000 0.2319
Hg2 0.0000 0.2322 0.0000
Hg3 0.2321 0.0000 0.0000
```

Calculated values
energy relative to the elements	-181	meV per atom
volume	37.058	A^3/atom
DOS at the Fermi energy	19.7	states/eV/cell